1.
4
Lattice="0.000 3.719 3.719 3.719 0.000 3.719 3.719 3.719 0.000" Properties=species:S:1:pos:R:3 comment="GGA-PBE AcScAgAu, relaxed" sg=F-43m magmom_total_mub_per_fu=0.0 formation_enthalpy_0k_ev_per_atom=-0.3900 pbc="T T T"
Ac 0.000 0.000 0.000
Sc 3.719 3.719 3.719
Ag 1.860 1.860 1.860
Au 5.579 5.579 5.579

=====

2.
10
Lattice="4.534 0.000 0.000 0.000 4.534 0.000 0.000 0.000 10.527" Properties=species:S:1:pos:R:3 comment="GGA-PBE Ac2Si3AgAu4, relaxed" sg=P-4m2 formation_energy_uncorrected_ev_per_atom=-0.55 magmom_total_mub_per_fu=0.0 pbc="T T T"
Ac 0.000 2.267 2.605
Ac 2.267 0.000 7.923
Si 0.000 2.267 9.204
Si 2.267 0.000 1.323
Si 2.267 2.267 5.264
Ag 0.000 0.000 5.264
Au 0.000 0.000 0.000
Au 0.000 2.267 6.734
Au 2.267 0.000 3.793
Au 2.267 2.267 0.000

=====

3.
18
Lattice="4.492 2.594 6.195 -4.492 2.594 6.195 0.000 -5.187 6.195" Properties=species:S:1:pos:R:3 comment="GGA-PBE Ac2Si3AgAu12, relaxed" sg=R-3m formation_energy_uncorrected_ev_per_atom=-0.12 magmom_total_mub_per_fu=0.0 pbc="T T T"
Ac 0.000 0.000 2.018
Ac 0.000 0.000 16.566
Si -2.246 -1.297 6.195
Si -2.246 1.297 12.389
Si 0.000 2.594 6.195
Ag 0.000 0.000 9.292
Au -2.288 -1.321 8.639
Au 0.000 -2.365 6.232
Au -2.048 1.182 6.232
Au -2.048 -1.182 12.352
Au 0.000 -2.641 9.945
Au -2.288 1.321 9.945
Au 2.288 -1.321 8.639
Au 0.000 2.641 8.639
Au 2.048 1.182 6.232
Au 2.048 -1.182 12.352
Au 0.000 2.365 12.352
Au 2.288 1.321 9.945

=====

4.
4
Lattice="0.000 3.614 3.614 3.614 0.000 3.614 3.614 3.614 0.000" Properties=species:S:1:pos:R:3 comment="GGA-PBE AcSiAgAu, relaxed" sg=F-43m formation_energy_uncorrected_ev_per_atom=-0.22 magmom_total_mub_per_fu=0.0 pbc="T T T"
Ac 0.000 0.000 0.000
Si 3.614 3.614 3.614
Ag 5.421 5.421 5.421
Au 1.807 1.807 1.807

=====

5.
10
Lattice="4.745 0.000 0.000 0.000 4.745 0.000 0.000 0.000 11.483" Properties=species:S:1:pos:R:3 comment="GGA-PBE Ac2AgSn4Au3, relaxed" sg=P-4m2 magmom_total_mub_per_fu=0.0 formation_enthalpy_0k_ev_per_atom=-0.5956 pbc="T T T"
Ac 0.000 2.372 2.759
Ac 2.372 0.000 8.724
Ag 2.372 2.372 0.000
Sn 0.000 0.000 5.742
Sn 0.000 2.372 10.001
Sn 2.372 0.000 1.483
Sn 2.372 2.372 5.742
Au 0.000 0.000 0.000
Au 0.000 2.372 7.310
Au 2.372 0.000 4.173

=====

6.
10
Lattice="4.751 0.000 0.000 0.000 4.751 0.000 0.000 0.000 11.517" Properties=species:S:1:pos:R:3 comment="GGA-PBE Ac2Ag3Sn4Au, relaxed" sg=P-4m2 magmom_total_mub_per_fu=0.0 formation_enthalpy_0k_ev_per_atom=-0.4767 pbc="T T T"
Ac 0.000 2.376 2.749
Ac 2.376 0.000 8.769
Ag 0.000 0.000 0.000
Ag 0.000 2.376 7.337
Ag 2.376 0.000 4.180
Sn 0.000 0.000 5.759
Sn 0.000 2.376 10.033
Sn 2.376 0.000 1.484
Sn 2.376 2.376 5.759
Au 2.376 2.376 0.000

=====

7.
4
Lattice="0.000 3.712 3.712 3.712 0.000 3.712 3.712 3.712 0.000" Properties=species:S:1:pos:R:3 comment="GGA-PBE AcAgSnAu, relaxed" sg=F-43m magmom_total_mub_per_fu=0.0 formation_enthalpy_0k_ev_per_atom=-0.5188 pbc="T T T"
Ac 0.000 0.000 0.000
Ag 1.856 1.856 1.856
Sn 3.712 3.712 3.712
Au 5.567 5.567 5.567

=====

8.
8
Lattice="2.368 1.367 9.537 -2.368 1.367 9.537 0.000 -2.734 9.537" Properties=species:S:1:pos:R:3 comment="GGA-PBE AcAgSn2Au4, relaxed" sg=R-3m magmom_total_mub_per_fu=0.0 formation_enthalpy_0k_ev_per_atom=-0.3981 pbc="T T T"
Ac 0.000 0.000 0.000
Ag 0.000 0.000 14.305
Sn 0.000 0.000 6.808
Sn 0.000 0.000 21.802
Au 0.000 0.000 3.833
Au 0.000 0.000 11.287
Au 0.000 0.000 17.323
Au 0.000 0.000 24.777

=====

9.
4
Lattice="0.000 3.763 3.763 3.763 0.000 3.763 3.763 3.763 0.000" Properties=species:S:1:pos:R:3 comment="GGA-PBE AcAgTeAu, relaxed" sg=F-43m formation_energy_uncorrected_ev_per_atom=-0.52 magmom_total_mub_per_fu=0.0 pbc="T T T"
Ac 0.000 0.000 0.000
Ag 1.881 1.881 1.881
Te 3.763 3.763 3.763
Au 5.644 5.644 5.644

=====

10.
8
Lattice="2.824 1.630 9.201 -2.824 1.630 9.201 0.000 -3.260 9.201" Properties=species:S:1:pos:R:3 comment="GGA-PBE Ac4TlAg2Au, relaxed" sg=R-3m magmom_total_mub_per_fu=0.0 formation_enthalpy_0k_ev_per_atom=-0.4204 pbc="T T T"
Ac 0.000 0.000 3.297
Ac 0.000 0.000 10.225
Ac 0.000 0.000 17.379
Ac 0.000 0.000 24.307
Tl 0.000 0.000 13.802
Ag 0.000 0.000 6.759
Ag 0.000 0.000 20.845
Au 0.000 0.000 0.000

=====

11.
8
Lattice="2.812 1.623 9.185 -2.812 1.623 9.185 0.000 -3.247 9.185" Properties=species:S:1:pos:R:3 comment="GGA-PBE Ac4TlAgAu2, relaxed" sg=R-3m magmom_total_mub_per_fu=0.0 formation_enthalpy_0k_ev_per_atom=-0.5275 pbc="T T T"
Ac 0.000 0.000 3.335
Ac 0.000 0.000 10.251
Ac 0.000 0.000 17.304
Ac 0.000 0.000 24.220
Tl 0.000 0.000 13.777
Ag 0.000 0.000 0.000
Au 0.000 0.000 6.821
Au 0.000 0.000 20.734

=====

12.
8
Lattice="2.415 1.395 8.954 -2.415 1.395 8.954 0.000 -2.789 8.954" Properties=species:S:1:pos:R:3 comment="GGA-PBE AcTmAg2Au4, relaxed" sg=R-3m magmom_total_mub_per_fu=0.0 formation_enthalpy_0k_ev_per_atom=-0.5815 pbc="T T T"
Ac 0.000 0.000 0.000
Tm 0.000 0.000 13.431
Ag 0.000 0.000 6.426
Ag 0.000 0.000 20.437
Au 0.000 0.000 3.343
Au 0.000 0.000 10.542
Au 0.000 0.000 16.321
Au 0.000 0.000 23.520

=====

Number 1: calculated volume 25.727 Å³ per atom. Number 2: calculated volume 21.637 Å³ per atom. Number 3: calculated volume 24.057 Å³ per atom. Number 4: calculated volume 23.605 Å³ per atom. Number 5: calculated volume 25.853 Å³ per atom. Number 6: calculated volume 26.002 Å³ per atom. Number 7: calculated volume 25.565 Å³ per atom. Number 8: calculated volume 23.151 Å³ per atom. Number 9: calculated volume 26.635 Å³ per atom. Number 10: calculated volume 31.765 Å³ per atom. Number 11: calculated volume 31.441 Å³ per atom. Number 12: calculated volume 22.623 Å³ per atom.